No. 1
La2Pu2Bi2H | PBE | optimized geometry

Properties
* space-group type: I4/mmm, No. 139
* total DFT energy (no corrections): -7.702 eV per atom
* total magnetic moment: 13.0 μB per formula unit

Cell: 9.4909 9.4909 9.4909 Å, 151.47 151.47 40.79°
Closest atoms and distances in Å follow each position.
Fractional coordinates of all 7 atoms:
La1 0.1722 0.1722 0.0000  1 H 3.06, 5 Bi 3.36-3.38
La2 0.8278 0.8278 0.0000  1 H 3.06, 5 Bi 3.36-3.38
Pu1 0.0000 0.5000 0.5000  2 H 2.34
Pu2 0.5000 0.0000 0.5000  2 H 2.34
Bi1 0.3625 0.3625 0.0000  5 La 3.36-3.38, 4 Pu 3.39
Bi2 0.6375 0.6375 0.0000  5 La 3.36-3.38, 4 Pu 3.39
H1 0.0000 0.0000 0.0000  4 Pu 2.34



No. 2
LaBiH8Rh2 | PBE | optimized geometry

Properties
* space-group type: R-3, No. 148
* total DFT energy (no corrections): -4.294 eV per atom
* total magnetic moment: 0.0 μB per formula unit

Cell: 6.4913 6.4913 6.4913 Å, 45.99 45.99 45.99°
Closest atoms and distances in Å follow each position.
Fractional coordinates of all 12 atoms:
La1 0.0000 0.0000 0.0000  6 H 2.34
Bi1 0.5000 0.5000 0.5000  12 H 2.69-2.72
H1 0.0255 0.6016 0.0306  1 Rh 1.68, 1 H 1.88
H2 0.0306 0.0255 0.6016  1 Rh 1.68, 1 H 1.88
H3 0.3107 0.3107 0.3107  1 Rh 1.66
H4 0.3984 0.9694 0.9745  1 Rh 1.68, 1 H 1.88
H5 0.6016 0.0306 0.0255  1 Rh 1.68, 1 H 1.88
H6 0.6893 0.6893 0.6893  1 Rh 1.66
H7 0.9694 0.9745 0.3984  1 Rh 1.68, 1 H 1.88
H8 0.9745 0.3984 0.9694  1 Rh 1.68, 1 H 1.88
Rh1 0.2154 0.2154 0.2154  4 H 1.66-1.68
Rh2 0.7846 0.7846 0.7846  4 H 1.66-1.68



No. 3
LaBiHRh | PBE | optimized geometry

Properties
* space-group type: P-6m2, No. 187
* total DFT energy (no corrections): -5.576 eV per atom
* total magnetic moment: 0.0 μB per formula unit

Cell: 4.8575 4.8575 3.7461 Å, 90.00 90.00 120.00°
Closest atoms and distances in Å follow each position.
Fractional coordinates of all 4 atoms:
La1 0.0000 0.0000 0.0000  3 H 2.80
Bi1 0.3333 0.6667 0.5000  3 Rh 2.80
H1 0.6667 0.3333 0.0000  2 Rh 1.87
Rh1 0.6667 0.3333 0.5000  2 H 1.87



No. 4
LaBiH2Rh2 | PBE | optimized geometry

Properties
* space-group type: P2_1/m, No. 11
* total DFT energy (no corrections): -5.457 eV per atom
* total magnetic moment: 0.0 μB per formula unit

Cell: 4.9579 5.7882 7.2409 Å, 90.00 98.67 90.00°
Closest atoms and distances in Å follow each position.
Fractional coordinates of all 12 atoms:
La1 0.2424 0.2500 0.3637  3 H 2.35-2.50
La2 0.7576 0.7500 0.6363  3 H 2.35-2.50
Bi1 0.2048 0.7500 0.0978  1 H 2.63, 4 Rh 2.79-2.81
Bi2 0.7952 0.2500 0.9022  1 H 2.63, 4 Rh 2.79-2.81
H1 0.1628 0.2500 0.6761  2 Rh 1.74
H2 0.2631 0.7500 0.6473  2 Rh 1.80
H3 0.7369 0.2500 0.3527  2 Rh 1.80
H4 0.8372 0.7500 0.3239  2 Rh 1.74
Rh1 0.3079 0.0059 0.7899  2 H 1.74-1.80
Rh2 0.3079 0.4941 0.7899  2 H 1.74-1.80
Rh3 0.6921 0.5059 0.2101  2 H 1.74-1.80
Rh4 0.6921 0.9941 0.2101  2 H 1.74-1.80